Run a
Cs4Hg2O | PBE-GGA | optimized geometry

Unit cell a=4.584 b=7.864 c=9.436 alpha=90.83 beta=104.06 gamma=90.00
Atoms (fractional coordinates):
Cs 0.145 0.873 0.290
Cs 0.855 0.127 0.710
Cs 0.457 0.768 0.914
Cs 0.543 0.232 0.086
Hg 0.218 0.391 0.435
Hg 0.782 0.609 0.565
O 0.000 0.000 0.000

Results
Space-group type: C2/m
Volume, Å³/f.u.: 330

---

Run b
Cs4Hg2O | PBE-GGA | optimized geometry

Unit cell a=5.987 b=5.987 c=11.147 alpha=74.42 beta=74.42 gamma=90.00
Atoms (fractional coordinates):
Cs 0.309 0.309 0.382
Cs 0.691 0.691 0.618
Cs 0.000 0.500 0.000
Cs 0.500 0.000 0.000
Hg 0.120 0.120 0.760
Hg 0.880 0.880 0.240
O 0.000 0.000 0.000

Results
Space-group type: I4/mmm
Volume, Å³/f.u.: 370

---

Verdict on stability: run b comes out at the bottom.

---

Run a
CsHg3O3 | PBE-GGA | optimized geometry

Unit cell a=4.493 b=10.403 c=11.217 alpha=104.75 beta=66.34 gamma=77.55
Atoms (fractional coordinates):
Cs 0.102 0.636 0.330
Cs 0.898 0.364 0.670
Hg 0.541 0.978 0.719
Hg 0.876 0.683 0.034
Hg 0.194 0.705 0.703
Hg 0.806 0.295 0.297
Hg 0.124 0.317 0.966
Hg 0.459 0.022 0.281
O 0.694 0.764 0.673
O 0.603 0.810 0.244
O 0.142 0.550 0.832
O 0.858 0.450 0.168
O 0.397 0.190 0.756
O 0.306 0.236 0.327

Results
Space-group type: P-1
Volume, Å³/f.u.: 217

---

Run b
CsHg3O3 | PBE-GGA | optimized geometry

Unit cell a=6.790 b=6.790 c=8.982 alpha=67.79 beta=67.79 gamma=60.00
Atoms (fractional coordinates):
Cs 0.330 0.330 0.010
Cs 0.670 0.670 0.990
Hg 0.409 0.813 0.650
Hg 0.813 0.128 0.650
Hg 0.128 0.409 0.650
Hg 0.872 0.591 0.350
Hg 0.187 0.872 0.350
Hg 0.591 0.187 0.350
O 0.249 0.540 0.304
O 0.908 0.249 0.304
O 0.540 0.908 0.304
O 0.460 0.092 0.696
O 0.092 0.751 0.696
O 0.751 0.460 0.696

Results
Space-group type: R-3
Volume, Å³/f.u.: 161

---

Verdict on stability: run b comes out at the bottom.

---

Run a
CsRb2HgO | PBE-GGA | optimized geometry

Unit cell a=8.659 b=7.257 c=8.659 alpha=90.00 beta=90.00 gamma=90.00
Atoms (fractional coordinates):
Cs 0.000 0.000 0.000
O 0.500 0.500 0.500
Hg 0.000 0.500 0.000
Rb 0.000 0.000 0.500
Rb 0.500 0.000 0.000

Results
Space-group type: P4/mmm
Volume, Å³/f.u.: 544

---

Run b
CsRb2HgO | PBE-GGA | optimized geometry

Unit cell a=5.743 b=5.743 c=6.048 alpha=90.00 beta=90.00 gamma=90.00
Atoms (fractional coordinates):
Cs 0.000 0.000 0.500
O 0.000 0.000 0.000
Hg 0.500 0.500 0.500
Rb 0.000 0.500 0.000
Rb 0.500 0.000 0.000

Results
Space-group type: P4/mmm
Volume, Å³/f.u.: 199

---

Verdict on stability: run a comes out at the bottom.

---

Run a
Cs2HgOs | PBE-GGA | optimized geometry

Unit cell a=9.940 b=9.940 c=9.940 alpha=60.00 beta=60.00 gamma=60.00
Atoms (fractional coordinates):
Cs 0.125 0.625 0.125
Cs 0.625 0.125 0.125
Cs 0.125 0.125 0.125
Cs 0.125 0.125 0.625
Hg 0.750 0.750 0.750
Hg 0.500 0.500 0.500
Os 0.250 0.250 0.250
Os 0.000 0.000 0.000

Results
Space-group type: Fd-3m
Volume, Å³/f.u.: 347

---

Run b
Cs2HgOs | PBE-GGA | optimized geometry

Unit cell a=6.128 b=6.128 c=6.128 alpha=60.00 beta=60.00 gamma=60.00
Atoms (fractional coordinates):
Cs 0.250 0.250 0.250
Cs 0.750 0.750 0.750
Os 0.000 0.000 0.000
Hg 0.500 0.500 0.500

Results
Space-group type: Fm-3m
Volume, Å³/f.u.: 163

---

Verdict on stability: run a comes out at the bottom.

---

Run a
CsHg2Os2 | PBE-GGA | optimized geometry

Unit cell a=8.870 b=8.870 c=2.986 alpha=90.00 beta=90.00 gamma=90.00
Atoms (fractional coordinates):
Cs 0.000 0.000 0.000
Cs 0.500 0.500 0.000
Os 0.409 0.909 0.000
Os 0.909 0.591 0.000
Os 0.591 0.091 0.000
Os 0.091 0.409 0.000
Hg 0.192 0.692 0.500
Hg 0.692 0.808 0.500
Hg 0.808 0.308 0.500
Hg 0.308 0.192 0.500

Results
Space-group type: P4/mbm
Volume, Å³/f.u.: 117

---

Run b
CsHg2Os2 | PBE-GGA | optimized geometry

Unit cell a=3.542 b=3.542 c=11.097 alpha=80.82 beta=80.82 gamma=90.00
Atoms (fractional coordinates):
Cs 0.000 0.000 0.000
Os 0.750 0.250 0.500
Os 0.250 0.750 0.500
Hg 0.369 0.369 0.262
Hg 0.631 0.631 0.738

Results
Space-group type: I4/mmm
Volume, Å³/f.u.: 136

---

Verdict on stability: run a comes out at the bottom.

---

Run a
Cs2HgP2 | PBE-GGA | optimized geometry

Unit cell a=6.600 b=6.600 c=6.600 alpha=117.67 beta=117.67 gamma=94.09
Atoms (fractional coordinates):
Cs 0.750 0.250 0.500
Cs 0.250 0.750 0.500
Hg 0.000 0.000 0.000
P 0.614 0.614 0.000
P 0.386 0.386 0.000

Results
Space-group type: I4/mmm
Volume, Å³/f.u.: 210

---

Run b
Cs2HgP2 | PBE-GGA | optimized geometry

Unit cell a=3.647 b=3.647 c=12.396 alpha=81.54 beta=81.54 gamma=90.00
Atoms (fractional coordinates):
Cs 0.372 0.372 0.256
Cs 0.628 0.628 0.744
P 0.750 0.250 0.500
P 0.250 0.750 0.500
Hg 0.000 0.000 0.000

Results
Space-group type: I4/mmm
Volume, Å³/f.u.: 161

---

Verdict on stability: run b comes out at the bottom.

---

Run a
Cs2HgP | PBE-GGA | optimized geometry

Unit cell a=7.506 b=7.506 c=11.193 alpha=70.41 beta=70.41 gamma=90.00
Atoms (fractional coordinates):
Cs 0.552 0.125 0.250
Cs 0.198 0.625 0.250
Cs 0.375 0.448 0.750
Cs 0.875 0.802 0.750
P 0.500 0.500 0.000
P 0.250 0.750 0.500
Hg 0.000 0.000 0.000
Hg 0.750 0.250 0.500

Results
Space-group type: I-42d
Volume, Å³/f.u.: 278

---

Run b
Cs2HgP | PBE-GGA | optimized geometry

Unit cell a=6.823 b=8.929 c=11.057 alpha=90.00 beta=90.00 gamma=90.00
Atoms (fractional coordinates):
Cs 0.102 0.700 0.083
Cs 0.398 0.200 0.417
Cs 0.898 0.300 0.583
Cs 0.602 0.800 0.917
Cs 0.898 0.300 0.917
Cs 0.602 0.800 0.583
Cs 0.102 0.700 0.417
Cs 0.398 0.200 0.083
Hg 0.608 0.570 0.250
Hg 0.892 0.070 0.250
Hg 0.392 0.430 0.750
Hg 0.108 0.930 0.750
P 0.867 0.357 0.250
P 0.633 0.857 0.250
P 0.133 0.643 0.750
P 0.367 0.143 0.750

Results
Space-group type: Pnma
Volume, Å³/f.u.: 168

---

Run c
Cs2HgP | PBE-GGA | optimized geometry

Unit cell a=6.175 b=6.175 c=6.175 alpha=60.00 beta=60.00 gamma=60.00
Atoms (fractional coordinates):
Cs 0.250 0.250 0.250
Cs 0.750 0.750 0.750
P 0.000 0.000 0.000
Hg 0.500 0.500 0.500

Results
Space-group type: Fm-3m
Volume, Å³/f.u.: 166

---

Verdict on stability: run a comes out at the bottom.

---

Run a
CsHgPS2 | PBE-GGA | optimized geometry

Unit cell a=5.556 b=5.556 c=7.096 alpha=90.00 beta=90.00 gamma=90.00
Atoms (fractional coordinates):
Cs 0.000 0.000 0.000
P 0.000 0.000 0.500
S 0.000 0.500 0.000
S 0.500 0.000 0.000
Hg 0.500 0.500 0.500

Results
Space-group type: P4/mmm
Volume, Å³/f.u.: 219

---

Run b
CsHgPS2 | PBE-GGA | optimized geometry

Unit cell a=5.312 b=5.312 c=5.160 alpha=90.00 beta=90.00 gamma=90.00
Atoms (fractional coordinates):
Cs 0.500 0.500 0.500
P 0.000 0.000 0.500
S 0.000 0.500 0.000
S 0.500 0.000 0.000
Hg 0.000 0.000 0.000

Results
Space-group type: P4/mmm
Volume, Å³/f.u.: 146

---

Verdict on stability: run a comes out at the bottom.

---

Run a
CsHgPb | PBE-GGA | optimized geometry

Unit cell a=6.438 b=4.981 c=8.706 alpha=90.00 beta=107.10 gamma=90.00
Atoms (fractional coordinates):
Pb 0.397 0.000 0.765
Pb 0.664 0.500 0.938
Cs 0.913 0.500 0.553
Cs 0.269 0.500 0.209
Hg 0.719 0.000 0.188
Hg 0.975 0.000 0.876

Results
Space-group type: Pm
Volume, Å³/f.u.: 133

---

Run b
CsHgPb | PBE-GGA | optimized geometry

Unit cell a=9.265 b=5.023 c=14.022 alpha=90.00 beta=129.26 gamma=90.00
Atoms (fractional coordinates):
Pb 0.853 0.000 0.962
Pb 0.853 0.500 0.462
Pb 0.698 0.000 0.294
Pb 0.698 0.500 0.794
Cs 0.579 0.000 0.539
Cs 0.579 0.500 0.039
Cs 0.255 0.000 0.676
Cs 0.255 0.500 0.176
Hg 0.147 0.000 0.922
Hg 0.147 0.500 0.422
Hg 0.996 0.000 0.253
Hg 0.996 0.500 0.753

Results
Space-group type: Cm
Volume, Å³/f.u.: 126

---

Verdict on stability: run a comes out at the bottom.

---

Run a
CsHgPb | PBE-GGA | optimized geometry

Unit cell a=5.962 b=5.154 c=5.154 alpha=120.00 beta=90.00 gamma=90.00
Atoms (fractional coordinates):
Pb 0.167 0.000 0.000
Cs 0.666 0.667 0.333
Hg 0.167 0.333 0.667

Results
Space-group type: P-6m2
Volume, Å³/f.u.: 137

---

Run b
CsHgPb | PBE-GGA | optimized geometry

Unit cell a=5.257 b=8.189 c=6.966 alpha=99.47 beta=112.17 gamma=90.00
Atoms (fractional coordinates):
Cs 0.608 0.537 0.217
Cs 0.381 0.903 0.762
Hg 0.686 0.026 0.372
Hg 0.896 0.285 0.793
Pb 0.305 0.395 0.609
Pb 0.103 0.130 0.205

Results
Space-group type: Cm
Volume, Å³/f.u.: 137

---

Run c
CsHgPb | PBE-GGA | optimized geometry

Unit cell a=4.786 b=7.369 c=8.984 alpha=121.02 beta=89.94 gamma=108.91
Atoms (fractional coordinates):
Cs 0.653 0.151 0.240
Cs 0.501 0.848 0.666
Hg 0.200 0.244 0.616
Hg 0.955 0.755 0.291
Pb 0.862 0.569 0.871
Pb 0.293 0.430 0.035

Results
Space-group type: P-1
Volume, Å³/f.u.: 126

---

Verdict on stability: run a comes out at the bottom.

---

Run a
CsHg2Pb4 | PBE-GGA | optimized geometry

Unit cell a=5.139 b=9.787 c=9.787 alpha=90.00 beta=90.00 gamma=90.00
Atoms (fractional coordinates):
Cs 0.500 0.000 0.000
Cs 0.000 0.500 0.500
Hg 0.000 0.211 0.789
Hg 0.000 0.789 0.211
Hg 0.500 0.711 0.711
Hg 0.500 0.289 0.289
Pb 0.000 0.086 0.352
Pb 0.000 0.914 0.648
Pb 0.500 0.148 0.586
Pb 0.500 0.852 0.414
Pb 0.500 0.414 0.852
Pb 0.500 0.586 0.148
Pb 0.000 0.352 0.086
Pb 0.000 0.648 0.914

Results
Space-group type: P4_2/mnm
Volume, Å³/f.u.: 246

---

Run b
CsHg2Pb4 | PBE-GGA | optimized geometry

Unit cell a=5.157 b=5.269 c=9.612 alpha=105.91 beta=90.00 gamma=90.00
Atoms (fractional coordinates):
Cs 0.000 0.000 0.000
Pb 0.500 0.807 0.615
Pb 0.000 0.694 0.388
Pb 0.500 0.193 0.385
Pb 0.000 0.306 0.612
Hg 0.500 0.582 0.164
Hg 0.500 0.418 0.836

Results
Space-group type: Cmmm
Volume, Å³/f.u.: 251

---

Verdict on stability: run a comes out at the bottom.